# 1
First-principles (GGA-PBE) data for an optimized crystal structure of Ac8Nd6Er, as listed in Alexandria.

a = 9.263 Å, b = 9.263 Å, c = 9.263 Å
α = 66.53°, β = 66.53°, γ = 66.53°
Fractional coordinates of all 15 atoms:
Ac (0.090, 0.364, 0.675)
Ac (0.232, 0.232, 0.232)
Ac (0.325, 0.910, 0.636)
Ac (0.364, 0.675, 0.090)
Ac (0.636, 0.325, 0.910)
Ac (0.675, 0.090, 0.364)
Ac (0.768, 0.768, 0.768)
Ac (0.910, 0.636, 0.325)
Nd (0.130, 0.819, 0.438)
Nd (0.181, 0.562, 0.870)
Nd (0.438, 0.130, 0.819)
Nd (0.562, 0.870, 0.181)
Nd (0.819, 0.438, 0.130)
Nd (0.870, 0.181, 0.562)
Er (0.500, 0.500, 0.500)

* symmetry: R-3
* formation energy: 230.2 meV per atom


# 2
First-principles (GGA-PBE) data for an optimized crystal structure of KCaEr2CuS5, as listed in Alexandria.

a = 7.085 Å, b = 7.085 Å, c = 17.139 Å
α = 90.00°, β = 90.00°, γ = 147.67°
Fractional coordinates of all 20 atoms:
K (0.023, 0.977, 0.750)
K (0.977, 0.023, 0.250)
Ca (0.500, 0.500, 0.000)
Ca (0.500, 0.500, 0.500)
Er (0.230, 0.770, 0.103)
Er (0.230, 0.770, 0.397)
Er (0.770, 0.230, 0.603)
Er (0.770, 0.230, 0.897)
Cu (0.297, 0.703, 0.750)
Cu (0.703, 0.297, 0.250)
S (0.144, 0.856, 0.547)
S (0.144, 0.856, 0.953)
S (0.298, 0.702, 0.250)
S (0.396, 0.604, 0.639)
S (0.396, 0.604, 0.861)
S (0.604, 0.396, 0.139)
S (0.604, 0.396, 0.361)
S (0.702, 0.298, 0.750)
S (0.856, 0.144, 0.047)
S (0.856, 0.144, 0.453)

* symmetry: Cmcm
* E_form (uncorrected): -17.8 eV per formula unit


# 3
First-principles (GGA-PBE) data for an optimized crystal structure of LaNiOs2, as listed in Alexandria.

a = 5.086 Å, b = 5.086 Å, c = 2.921 Å
α = 90.00°, β = 90.00°, γ = 114.43°
Fractional coordinates of all 4 atoms:
La (0.000, 0.000, 0.000)
Ni (0.500, 0.500, 0.000)
Os (0.000, 0.500, 0.500)
Os (0.500, 0.000, 0.500)

* symmetry: Cmmm
* relative energy among the computed polymorphs: 768 meV per atom
* formation energy: 688.3 meV per atom


# 4
First-principles (GGA-PBE) data for an optimized crystal structure of TmMg2Ir, as listed in Alexandria.

a = 15.263 Å, b = 8.416 Å, c = 5.275 Å
α = 90.00°, β = 90.00°, γ = 90.00°
Fractional coordinates of all 32 atoms:
Tm (0.109, 0.250, 0.248)
Tm (0.138, 0.750, 0.059)
Tm (0.362, 0.250, 0.559)
Tm (0.391, 0.750, 0.748)
Tm (0.609, 0.250, 0.252)
Tm (0.638, 0.750, 0.441)
Tm (0.862, 0.250, 0.941)
Tm (0.891, 0.750, 0.752)
Mg (0.041, 0.057, 0.735)
Mg (0.041, 0.443, 0.735)
Mg (0.211, 0.557, 0.547)
Mg (0.211, 0.943, 0.547)
Mg (0.289, 0.057, 0.047)
Mg (0.289, 0.443, 0.047)
Mg (0.459, 0.557, 0.235)
Mg (0.459, 0.943, 0.235)
Mg (0.541, 0.057, 0.765)
Mg (0.541, 0.443, 0.765)
Mg (0.711, 0.557, 0.953)
Mg (0.711, 0.943, 0.953)
Mg (0.789, 0.057, 0.453)
Mg (0.789, 0.443, 0.453)
Mg (0.959, 0.557, 0.265)
Mg (0.959, 0.943, 0.265)
Ir (0.064, 0.750, 0.561)
Ir (0.188, 0.250, 0.741)
Ir (0.312, 0.750, 0.241)
Ir (0.436, 0.250, 0.061)
Ir (0.564, 0.750, 0.939)
Ir (0.688, 0.250, 0.759)
Ir (0.812, 0.750, 0.259)
Ir (0.936, 0.250, 0.439)

* symmetry: Pnma
* formation energy: -500.6 meV per atom


# 5
First-principles (GGA-PBE) data for an optimized crystal structure of LaZn2Re, as listed in Alexandria.

a = 2.927 Å, b = 3.748 Å, c = 7.191 Å
α = 90.00°, β = 90.00°, γ = 90.00°
Fractional coordinates of all 4 atoms:
La (0.000, 0.000, 0.000)
Zn (0.000, 0.000, 0.462)
Zn (0.500, 0.500, 0.663)
Re (0.500, 0.500, 0.288)

* symmetry: Pmm2
* relative energy among the computed polymorphs: 50 meV per atom
* formation energy: 260.7 meV per atom


# 6
First-principles (GGA-PBE) data for an optimized crystal structure of LiLu2Sn, as listed in Alexandria.

a = 4.775 Å, b = 4.775 Å, c = 4.245 Å
α = 90.00°, β = 90.00°, γ = 90.00°
Fractional coordinates of all 4 atoms:
Li (0.000, 0.000, 0.000)
Lu (0.000, 0.500, 0.500)
Lu (0.500, 0.000, 0.500)
Sn (0.500, 0.500, 0.000)

* symmetry: P4/mmm
* relative energy among the computed polymorphs: 0 meV per atom
* formation energy: -374.2 meV per atom


# 7
First-principles (GGA-PBE) data for an optimized crystal structure of CePuPbAu, as listed in Alexandria.

a = 3.517 Å, b = 3.517 Å, c = 8.630 Å
α = 90.00°, β = 90.00°, γ = 90.00°
Fractional coordinates of all 4 atoms:
Ce (0.000, 0.000, 0.000)
Pu (0.000, 0.000, 0.548)
Pb (0.500, 0.500, 0.276)
Au (0.500, 0.500, 0.776)

* symmetry: P4mm
* relative energy among the computed polymorphs: 0 meV per atom
* formation energy: -382.8 meV per atom


# 8
First-principles (GGA-PBE) data for an optimized crystal structure of MgNb2Sb2, as listed in Alexandria.

a = 7.744 Å, b = 7.744 Å, c = 3.509 Å
α = 90.00°, β = 90.00°, γ = 90.00°
Fractional coordinates of all 10 atoms:
Mg (0.000, 0.000, 0.000)
Mg (0.500, 0.500, 0.000)
Nb (0.144, 0.356, 0.500)
Nb (0.356, 0.856, 0.500)
Nb (0.644, 0.144, 0.500)
Nb (0.856, 0.644, 0.500)
Sb (0.149, 0.649, 0.000)
Sb (0.351, 0.149, 0.000)
Sb (0.649, 0.851, 0.000)
Sb (0.851, 0.351, 0.000)

* symmetry: P4/mbm
* E_form (uncorrected): -0.3 eV per formula unit
* relative energy among the computed polymorphs: 22 meV per atom


# 9
First-principles (GGA-PBE) data for an optimized crystal structure of NbCrAg3, as listed in Alexandria.

a = 5.130 Å, b = 5.130 Å, c = 5.130 Å
α = 90.00°, β = 90.00°, γ = 90.00°
Fractional coordinates of all 5 atoms:
Nb (0.000, 0.000, 0.000)
Cr (0.500, 0.500, 0.500)
Ag (0.000, 0.000, 0.500)
Ag (0.000, 0.500, 0.000)
Ag (0.500, 0.000, 0.000)

* symmetry: Pm-3m
* relative energy among the computed polymorphs: 0 meV per atom
* formation energy: 1657.7 meV per atom


# 10
First-principles (GGA-PBE) data for an optimized crystal structure of Tb8Tl2Ir, as listed in Alexandria.

a = 9.891 Å, b = 9.891 Å, c = 6.728 Å
α = 104.69°, β = 104.69°, γ = 29.87°
Fractional coordinates of all 11 atoms:
Tb (0.019, 0.019, 0.285)
Tb (0.211, 0.211, 0.819)
Tb (0.354, 0.354, 0.516)
Tb (0.412, 0.412, 0.055)
Tb (0.588, 0.588, 0.945)
Tb (0.646, 0.646, 0.484)
Tb (0.789, 0.789, 0.181)
Tb (0.981, 0.981, 0.715)
Tl (0.182, 0.182, 0.251)
Tl (0.818, 0.818, 0.749)
Ir (0.500, 0.500, 0.500)

* symmetry: C2/m
* formation energy: -298.7 meV per atom


# 11
First-principles (GGA-PBE) data for an optimized crystal structure of CdGeOs3, as listed in Alexandria.

a = 4.865 Å, b = 4.865 Å, c = 4.865 Å
α = 90.00°, β = 90.00°, γ = 90.00°
Fractional coordinates of all 5 atoms:
Cd (0.000, 0.000, 0.000)
Ge (0.500, 0.500, 0.500)
Os (0.000, 0.000, 0.500)
Os (0.000, 0.500, 0.000)
Os (0.500, 0.000, 0.000)

* symmetry: Pm-3m
* relative energy among the computed polymorphs: 1490 meV per atom
* formation energy: 3075.8 meV per atom


# 12
First-principles (GGA-PBE) data for an optimized crystal structure of SmGe2Rh, as listed in Alexandria.

a = 5.593 Å, b = 5.593 Å, c = 5.593 Å
α = 44.39°, β = 44.39°, γ = 44.39°
Fractional coordinates of all 4 atoms:
Sm (0.000, 0.000, 0.000)
Ge (0.218, 0.218, 0.218)
Ge (0.782, 0.782, 0.782)
Rh (0.500, 0.500, 0.500)

* symmetry: R-3m
* formation energy: -797.7 meV per atom


Number 1: total energy -4.17 eV per atom. Number 2: total energy -5.47 eV per atom. Number 3: total energy -7.60 eV per atom. Number 4: total energy -4.63 eV per atom. Number 5: total energy -4.72 eV per atom. Number 6: total energy -4.11 eV per atom. Number 7: total energy -7.20 eV per atom. Number 8: total energy -6.05 eV per atom. Number 9: total energy -3.99 eV per atom. Number 10: total energy -4.90 eV per atom. Number 11: total energy -4.77 eV per atom. Number 12: total energy -6.12 eV per atom.